(1)
Density functional theory data (meta-GGA SCAN) for SnHPd2 at its PBEsol-relaxed geometry.

The structure in CIF format:
```
data_SnHPd2
_cell_length_a 6.209
_cell_length_b 6.209
_cell_length_c 5.588
_cell_angle_alpha 90.00
_cell_angle_beta 90.00
_cell_angle_gamma 90.00
_symmetry_space_group_name_H-M 'I -4 2 d'
_symmetry_Int_Tables_number 122
_symmetry_space_group_name_Hall 'I -4 2bw'
loop_
_atom_site_label
_atom_site_type_symbol
_atom_site_fract_x
_atom_site_fract_y
_atom_site_fract_z
Sn1 Sn 0.000 0.000 0.000
H1 H 0.000 0.000 0.500
Pd1 Pd 0.137 0.750 0.625
```

Results
Crystal system   tetragonal
D(E_F)   0.29 states/eV/atom
E   -0.973 hartree per atom
M_tot   0.000 μB per atom

(2)
Density functional theory data (meta-GGA SCAN) for AgMo2As at its PBEsol-relaxed geometry.

The structure in CIF format:
```
data_AgMo2As
_cell_length_a 3.209
_cell_length_b 4.443
_cell_length_c 8.646
_cell_angle_alpha 90.00
_cell_angle_beta 90.00
_cell_angle_gamma 90.00
_symmetry_space_group_name_H-M 'I m m 2'
_symmetry_Int_Tables_number 44
loop_
_symmetry_equiv_pos_as_xyz
'x,y,z'
'-x,-y,z'
'-x,y,z'
'x,-y,z'
'x+1/2,y+1/2,z+1/2'
'-x+1/2,-y+1/2,z+1/2'
'-x+1/2,y+1/2,z+1/2'
'x+1/2,-y+1/2,z+1/2'
loop_
_atom_site_label
_atom_site_type_symbol
_atom_site_fract_x
_atom_site_fract_y
_atom_site_fract_z
Ag1 Ag 0.000 0.000 0.000
Mo1 Mo 0.000 0.000 0.479
Mo2 Mo 0.000 0.500 0.225
As1 As 0.000 0.500 0.745
```

Results
Crystal system   orthorhombic
D(E_F)   0.76 states/eV/atom
E   -1.101 hartree per atom
E_form   0.381 eV per atom
M_tot   0.000 μB per atom

(3)
Density functional theory data (meta-GGA SCAN) for Ag2TeO3 at its PBEsol-relaxed geometry.

The structure in CIF format:
```
data_Ag2TeO3
_cell_length_a 4.944
_cell_length_b 9.835
_cell_length_c 7.209
_cell_angle_alpha 90.00
_cell_angle_beta 94.14
_cell_angle_gamma 90.00
_symmetry_space_group_name_H-M 'P 1 21/c 1'
_symmetry_Int_Tables_number 14
loop_
_symmetry_equiv_pos_as_xyz
'x,y,z'
'-x,-y,-z'
'-x,y+1/2,-z+1/2'
'x,-y+1/2,z+1/2'
loop_
_atom_site_label
_atom_site_type_symbol
_atom_site_fract_x
_atom_site_fract_y
_atom_site_fract_z
Ag1 Ag 0.217 0.241 0.129
Ag2 Ag 0.238 0.562 0.585
Te1 Te 0.259 0.602 0.111
O1 O 0.231 0.744 0.773
O2 O 0.270 0.030 0.805
O3 O 0.354 0.117 0.397
```

Results
Crystal system   monoclinic
D(E_F)   0.00 states/eV/atom
E   -0.751 hartree per atom
E_form (uncorrected)   -643 meV per atom
M_tot   0.000 μB per atom

D(E_F) of number 2 (AgMo2As)?
0.76 states/eV/atom